(1)
## PmHoBePd (PBE-GGA)

Data for a relaxed structure of PmHoBePd.

The space group is F-43m (No. 216) and the conventional cell measures 7.033, 7.033 and 7.033 Å, with angles of 90.00, 90.00 and 90.00 degrees. The asymmetric unit holds Pm at (0.000, 0.000, 0.000), Ho at (0.000, 0.000, 0.500), Be at (0.250, 0.250, 0.750) and Pd at (0.250, 0.250, 0.250).

Its electronic total energy is -19.47 eV per formula unit. For the density of states at the Fermi level, the calculation gives 9.8 states/eV/cell.

---

(2)
## PrHoBe2Pd5 (PBE-GGA)

Data for a relaxed structure of PrHoBe2Pd5.

The space group is P4/mmm (No. 123) and the conventional cell measures 4.086, 4.086 and 9.093 Å, with angles of 90.00, 90.00 and 90.00 degrees. The asymmetric unit holds Pr at (0.000, 0.000, 0.000), Ho at (0.000, 0.000, 0.500), Be at (0.500, 0.500, 0.370), Pd at (0.000, 0.500, 0.251) and Pd at (0.500, 0.500, 0.000).

Its electronic total energy is -48.88 eV per formula unit. For the density of states at the Fermi level, the calculation gives 3.1 states/eV/cell.

---

(3)
## Ho2Be3PdPt4 (PBE-GGA)

Data for a relaxed structure of Ho2Be3PdPt4.

The space group is P-4m2 (No. 115) and the conventional cell measures 3.936, 3.936 and 10.453 Å, with angles of 90.00, 90.00 and 90.00 degrees. The asymmetric unit holds Ho at (0.000, 0.500, 0.244), Be at (0.000, 0.500, 0.883), Be at (0.500, 0.500, 0.500), Pd at (0.000, 0.000, 0.500), Pt at (0.000, 0.000, 0.000), Pt at (0.000, 0.500, 0.669) and Pt at (0.500, 0.500, 0.000).

Its electronic total energy is -58.51 eV per formula unit. For the density of states at the Fermi level, the calculation gives 3.0 states/eV/cell.

---

(4)
## Ho2Be4PdPt3 (PBE-GGA)

Data for a relaxed structure of Ho2Be4PdPt3.

The space group is P-4m2 (No. 115) and the conventional cell measures 3.992, 3.992 and 9.545 Å, with angles of 90.00, 90.00 and 90.00 degrees. The asymmetric unit holds Ho at (0.000, 0.500, 0.247), Be at (0.000, 0.000, 0.000), Be at (0.000, 0.500, 0.627), Be at (0.500, 0.500, 0.000), Pd at (0.000, 0.000, 0.500), Pt at (0.000, 0.500, 0.871) and Pt at (0.500, 0.500, 0.500).

Its electronic total energy is -56.00 eV per formula unit. For the density of states at the Fermi level, the calculation gives 5.0 states/eV/cell.

---

(5)
## HoScBePd (PBE-GGA)

Data for a relaxed structure of HoScBePd.

The space group is F-43m (No. 216) and the conventional cell measures 6.737, 6.737 and 6.737 Å, with angles of 90.00, 90.00 and 90.00 degrees. The asymmetric unit holds Ho at (0.000, 0.000, 0.000), Sc at (0.000, 0.000, 0.500), Be at (0.250, 0.250, 0.250) and Pd at (0.250, 0.250, 0.750).

Its electronic total energy is -21.32 eV per formula unit. For the density of states at the Fermi level, the calculation gives 12.6 states/eV/cell.

---

(6)
## HoBe2SiPd2 (PBE-GGA)

Data for a relaxed structure of HoBe2SiPd2.

The space group is P4/mmm (No. 123) and the conventional cell measures 4.117, 4.117 and 5.598 Å, with angles of 90.00, 90.00 and 90.00 degrees. The asymmetric unit holds Ho at (0.000, 0.000, 0.000), Be at (0.000, 0.500, 0.500), Si at (0.000, 0.000, 0.500) and Pd at (0.500, 0.500, 0.249).

Its electronic total energy is -29.26 eV per formula unit. For the density of states at the Fermi level, the calculation gives 1.6 states/eV/cell. For the uncorrected formation energy, the calculation gives -0.236 eV/atom.

---

(7)
## Ho2Be3Si4Pd (PBE-GGA)

Data for a relaxed structure of Ho2Be3Si4Pd.

The space group is P-4m2 (No. 115) and the conventional cell measures 3.913, 3.913 and 9.813 Å, with angles of 90.00, 90.00 and 90.00 degrees. The asymmetric unit holds Ho at (0.000, 0.500, 0.244), Be at (0.000, 0.500, 0.869), Be at (0.500, 0.500, 0.500), Si at (0.000, 0.000, 0.000), Si at (0.000, 0.500, 0.643), Si at (0.500, 0.500, 0.000) and Pd at (0.000, 0.000, 0.500).

Its electronic total energy is -52.40 eV per formula unit. For the density of states at the Fermi level, the calculation gives 3.2 states/eV/cell. For the uncorrected formation energy, the calculation gives -0.518 eV/atom.

---

(8)
## Ho2BeSi4Pd3 (PBE-GGA)

Data for a relaxed structure of Ho2BeSi4Pd3.

The space group is P-4m2 (No. 115) and the conventional cell measures 3.975, 3.975 and 10.541 Å, with angles of 90.00, 90.00 and 90.00 degrees. The asymmetric unit holds Ho at (0.000, 0.500, 0.238), Be at (0.500, 0.500, 0.000), Si at (0.000, 0.000, 0.500), Si at (0.000, 0.500, 0.867), Si at (0.500, 0.500, 0.500), Pd at (0.000, 0.000, 0.000) and Pd at (0.000, 0.500, 0.637).

Its electronic total energy is -57.75 eV per formula unit. For the density of states at the Fermi level, the calculation gives 3.8 states/eV/cell. For the uncorrected formation energy, the calculation gives -0.760 eV/atom.